Arrangement w

Compound: KReC3
Source: Alexandria via LeMat-Bulk
Functional: PBE
Structure: optimized geometry

Geometry as CIF:
```
data_KReC3
_symmetry_space_group_name_H-M 'P 1'
_symmetry_Int_Tables_number 1
_cell_length_a 3.939
_cell_length_b 3.939
_cell_length_c 3.939
_cell_angle_alpha 90.00
_cell_angle_beta 90.00
_cell_angle_gamma 90.00
loop_
_symmetry_equiv_pos_as_xyz
'x,y,z'
loop_
_atom_site_label
_atom_site_fract_x
_atom_site_fract_y
_atom_site_fract_z
C1 0.000 0.000 0.500
K1 0.000 0.000 0.000
C2 0.000 0.500 0.000
Re1 0.500 0.500 0.500
C3 0.500 0.000 0.000
```

---

Arrangement x

Compound: KReC3
Source: Alexandria via LeMat-Bulk
Functional: PBE
Structure: optimized geometry

Geometry as CIF:
```
data_KReC3
_symmetry_space_group_name_H-M 'P 1'
_symmetry_Int_Tables_number 1
_cell_length_a 4.114
_cell_length_b 4.114
_cell_length_c 4.114
_cell_angle_alpha 90.00
_cell_angle_beta 90.00
_cell_angle_gamma 90.00
loop_
_symmetry_equiv_pos_as_xyz
'x,y,z'
loop_
_atom_site_label
_atom_site_fract_x
_atom_site_fract_y
_atom_site_fract_z
K1 0.500 0.500 0.500
C1 0.000 0.500 0.000
C2 0.000 0.000 0.500
Re1 0.000 0.000 0.000
C3 0.500 0.000 0.000
```

---

Verdict on stability: arrangement x comes out on top.

---

Arrangement w

Compound: KRh3C
Source: Alexandria via LeMat-Bulk
Functional: PBE
Structure: optimized geometry

Geometry as CIF:
```
data_KRh3C
_symmetry_space_group_name_H-M 'P 1'
_symmetry_Int_Tables_number 1
_cell_length_a 4.218
_cell_length_b 4.218
_cell_length_c 4.218
_cell_angle_alpha 90.00
_cell_angle_beta 90.00
_cell_angle_gamma 90.00
loop_
_symmetry_equiv_pos_as_xyz
'x,y,z'
loop_
_atom_site_label
_atom_site_fract_x
_atom_site_fract_y
_atom_site_fract_z
Rh1 0.500 0.000 0.000
K1 0.500 0.500 0.500
Rh2 0.000 0.500 0.000
C1 0.000 0.000 0.000
Rh3 0.000 0.000 0.500
```

---

Arrangement x

Compound: KRh3C
Source: Alexandria via LeMat-Bulk
Functional: PBE
Structure: optimized geometry

Geometry as CIF:
```
data_KRh3C
_symmetry_space_group_name_H-M 'P 1'
_symmetry_Int_Tables_number 1
_cell_length_a 4.723
_cell_length_b 4.723
_cell_length_c 4.723
_cell_angle_alpha 90.00
_cell_angle_beta 90.00
_cell_angle_gamma 90.00
loop_
_symmetry_equiv_pos_as_xyz
'x,y,z'
loop_
_atom_site_label
_atom_site_fract_x
_atom_site_fract_y
_atom_site_fract_z
C1 0.500 0.500 0.500
Rh1 0.000 0.500 0.000
K1 0.000 0.000 0.000
Rh2 0.500 0.000 0.000
Rh3 0.000 0.000 0.500
```

---

Verdict on stability: arrangement w comes out on top.

---

Arrangement w

Compound: KRhC3
Source: Alexandria via LeMat-Bulk
Functional: PBE
Structure: optimized geometry

Geometry as CIF:
```
data_KRhC3
_symmetry_space_group_name_H-M 'P 1'
_symmetry_Int_Tables_number 1
_cell_length_a 4.145
_cell_length_b 4.145
_cell_length_c 4.145
_cell_angle_alpha 90.00
_cell_angle_beta 90.00
_cell_angle_gamma 90.00
loop_
_symmetry_equiv_pos_as_xyz
'x,y,z'
loop_
_atom_site_label
_atom_site_fract_x
_atom_site_fract_y
_atom_site_fract_z
C1 0.000 0.500 0.000
K1 0.500 0.500 0.500
C2 0.000 0.000 0.500
Rh1 0.000 0.000 0.000
C3 0.500 0.000 0.000
```

---

Arrangement x

Compound: KRhC3
Source: Alexandria via LeMat-Bulk
Functional: PBE
Structure: optimized geometry

Geometry as CIF:
```
data_KRhC3
_symmetry_space_group_name_H-M 'P 1'
_symmetry_Int_Tables_number 1
_cell_length_a 4.146
_cell_length_b 4.146
_cell_length_c 4.146
_cell_angle_alpha 90.00
_cell_angle_beta 90.00
_cell_angle_gamma 90.00
loop_
_symmetry_equiv_pos_as_xyz
'x,y,z'
loop_
_atom_site_label
_atom_site_fract_x
_atom_site_fract_y
_atom_site_fract_z
K1 0.000 0.000 0.000
C1 0.000 0.500 0.000
C2 0.000 0.000 0.500
C3 0.500 0.000 0.000
Rh1 0.500 0.500 0.500
```

---

Verdict on stability: arrangement w comes out on top.

---

Arrangement w

Compound: KRu3C
Source: Alexandria via LeMat-Bulk
Functional: PBE
Structure: optimized geometry

Geometry as CIF:
```
data_KRu3C
_symmetry_space_group_name_H-M 'P 1'
_symmetry_Int_Tables_number 1
_cell_length_a 4.211
_cell_length_b 4.211
_cell_length_c 4.211
_cell_angle_alpha 90.00
_cell_angle_beta 90.00
_cell_angle_gamma 90.00
loop_
_symmetry_equiv_pos_as_xyz
'x,y,z'
loop_
_atom_site_label
_atom_site_fract_x
_atom_site_fract_y
_atom_site_fract_z
Ru1 0.500 0.000 0.000
K1 0.500 0.500 0.500
Ru2 0.000 0.000 0.500
Ru3 0.000 0.500 0.000
C1 0.000 0.000 0.000
```

---

Arrangement x

Compound: KRu3C
Source: Alexandria via LeMat-Bulk
Functional: PBE
Structure: optimized geometry

Geometry as CIF:
```
data_KRu3C
_symmetry_space_group_name_H-M 'P 1'
_symmetry_Int_Tables_number 1
_cell_length_a 4.652
_cell_length_b 4.652
_cell_length_c 4.652
_cell_angle_alpha 90.00
_cell_angle_beta 90.00
_cell_angle_gamma 90.00
loop_
_symmetry_equiv_pos_as_xyz
'x,y,z'
loop_
_atom_site_label
_atom_site_fract_x
_atom_site_fract_y
_atom_site_fract_z
Ru1 0.000 0.000 0.500
Ru2 0.000 0.500 0.000
Ru3 0.500 0.000 0.000
K1 0.000 0.000 0.000
C1 0.500 0.500 0.500
```

---

Verdict on stability: arrangement w comes out on top.

---

Arrangement w

Compound: K2CS
Source: Alexandria via LeMat-Bulk
Functional: PBE
Structure: optimized geometry

Geometry as CIF:
```
data_K2CS
_symmetry_space_group_name_H-M 'P 1'
_symmetry_Int_Tables_number 1
_cell_length_a 5.908
_cell_length_b 5.908
_cell_length_c 9.708
_cell_angle_alpha 72.29
_cell_angle_beta 72.29
_cell_angle_gamma 90.00
loop_
_symmetry_equiv_pos_as_xyz
'x,y,z'
loop_
_atom_site_label
_atom_site_fract_x
_atom_site_fract_y
_atom_site_fract_z
K1 0.375 0.384 0.750
S1 0.750 0.250 0.500
C1 0.250 0.750 0.500
S2 0.000 0.000 0.000
K2 0.875 0.866 0.750
C2 0.500 0.500 0.000
K3 0.134 0.625 0.250
K4 0.616 0.125 0.250
```

---

Arrangement x

Compound: K2CS
Source: Alexandria via LeMat-Bulk
Functional: PBE
Structure: optimized geometry

Geometry as CIF:
```
data_K2CS
_symmetry_space_group_name_H-M 'P 1'
_symmetry_Int_Tables_number 1
_cell_length_a 5.281
_cell_length_b 5.281
_cell_length_c 5.281
_cell_angle_alpha 60.00
_cell_angle_beta 60.00
_cell_angle_gamma 60.00
loop_
_symmetry_equiv_pos_as_xyz
'x,y,z'
loop_
_atom_site_label
_atom_site_fract_x
_atom_site_fract_y
_atom_site_fract_z
K1 0.750 0.750 0.750
S1 0.500 0.500 0.500
C1 0.000 0.000 0.000
K2 0.250 0.250 0.250
```

---

Verdict on stability: arrangement x comes out on top.

---

Arrangement w

Compound: KSbC3
Source: Alexandria via LeMat-Bulk
Functional: PBE
Structure: optimized geometry

Geometry as CIF:
```
data_KSbC3
_symmetry_space_group_name_H-M 'P 1'
_symmetry_Int_Tables_number 1
_cell_length_a 4.412
_cell_length_b 4.412
_cell_length_c 4.412
_cell_angle_alpha 90.00
_cell_angle_beta 90.00
_cell_angle_gamma 90.00
loop_
_symmetry_equiv_pos_as_xyz
'x,y,z'
loop_
_atom_site_label
_atom_site_fract_x
_atom_site_fract_y
_atom_site_fract_z
C1 0.000 0.000 0.500
Sb1 0.000 0.000 0.000
K1 0.500 0.500 0.500
C2 0.000 0.500 0.000
C3 0.500 0.000 0.000
```

---

Arrangement x

Compound: KSbC3
Source: Alexandria via LeMat-Bulk
Functional: PBE
Structure: optimized geometry

Geometry as CIF:
```
data_KSbC3
_symmetry_space_group_name_H-M 'P 1'
_symmetry_Int_Tables_number 1
_cell_length_a 4.671
_cell_length_b 4.671
_cell_length_c 4.671
_cell_angle_alpha 90.00
_cell_angle_beta 90.00
_cell_angle_gamma 90.00
loop_
_symmetry_equiv_pos_as_xyz
'x,y,z'
loop_
_atom_site_label
_atom_site_fract_x
_atom_site_fract_y
_atom_site_fract_z
C1 0.500 0.000 0.000
Sb1 0.500 0.500 0.500
K1 0.000 0.000 0.000
C2 0.000 0.000 0.500
C3 0.000 0.500 0.000
```

---

Verdict on stability: arrangement w comes out on top.

---

Arrangement w

Compound: KSb3C
Source: Alexandria via LeMat-Bulk
Functional: PBE
Structure: optimized geometry

Geometry as CIF:
```
data_KSb3C
_symmetry_space_group_name_H-M 'P 1'
_symmetry_Int_Tables_number 1
_cell_length_a 5.930
_cell_length_b 5.930
_cell_length_c 5.930
_cell_angle_alpha 90.00
_cell_angle_beta 90.00
_cell_angle_gamma 90.00
loop_
_symmetry_equiv_pos_as_xyz
'x,y,z'
loop_
_atom_site_label
_atom_site_fract_x
_atom_site_fract_y
_atom_site_fract_z
K1 0.000 0.000 0.000
Sb1 0.000 0.500 0.000
C1 0.500 0.500 0.500
Sb2 0.500 0.000 0.000
Sb3 0.000 0.000 0.500
```

---

Arrangement x

Compound: KSb3C
Source: Alexandria via LeMat-Bulk
Functional: PBE
Structure: optimized geometry

Geometry as CIF:
```
data_KSb3C
_symmetry_space_group_name_H-M 'P 1'
_symmetry_Int_Tables_number 1
_cell_length_a 5.004
_cell_length_b 5.004
_cell_length_c 5.004
_cell_angle_alpha 90.00
_cell_angle_beta 90.00
_cell_angle_gamma 90.00
loop_
_symmetry_equiv_pos_as_xyz
'x,y,z'
loop_
_atom_site_label
_atom_site_fract_x
_atom_site_fract_y
_atom_site_fract_z
C1 0.000 0.000 0.000
K1 0.500 0.500 0.500
Sb1 0.500 0.000 0.000
Sb2 0.000 0.000 0.500
Sb3 0.000 0.500 0.000
```

---

Verdict on stability: arrangement x comes out on top.